Computed, not measured: crystalline AcSc2Tl3Te6 at its relaxed geometry at the GGA-PBE level of DFT.

Properties
Electronic total energy: -4.54 eV per atom
Volume: 419.2 Å³/f.u.
Energy relative to the elements, uncorrected: -0.977 eV/atom

CIF file:
```
data_AcSc2Tl3Te6
_chemical_formula_sum 'Ac2 Sc4 Tl6 Te12'
_cell_length_a 7.734
_cell_length_b 13.326
_cell_length_c 8.532
_cell_angle_alpha 90.00
_cell_angle_beta 107.57
_cell_angle_gamma 90.00
_space_group_name_H-M_alt 'C 1 2/m 1'
_space_group_IT_number 12
loop_
_space_group_symop_operation_xyz
'x,y,z'
'-x,-y,-z'
'-x,y,-z'
'x,-y,z'
'x+1/2,y+1/2,z'
'-x+1/2,-y+1/2,-z'
'-x+1/2,y+1/2,-z'
'x+1/2,-y+1/2,z'
loop_
_atom_site_label
_atom_site_type_symbol
_atom_site_fract_x
_atom_site_fract_y
_atom_site_fract_z
Ac1 Ac 0.000 0.000 0.000
Sc1 Sc 0.000 0.332 0.000
Tl1 Tl 0.000 0.156 0.500
Tl2 Tl 0.000 0.500 0.500
Te1 Te 0.203 0.500 0.204
Te2 Te 0.246 0.318 0.787
```